! KCeIn2I6, relaxed, DFT PBE; values from VASP
! E_form (uncorrected) = -1.02 eV per atom
! space-group type = No. 146
&SYSTEM
  ibrav = 0, nat = 10, ntyp = 4
/
ATOMIC_SPECIES
K 39.10 K.upf
Ce 140.12 Ce.upf
In 114.82 In.upf
I 126.90 I.upf
CELL_PARAMETERS angstrom
4.348 2.510 7.578
-4.348 2.510 7.578
0.000 -5.021 7.578
ATOMIC_POSITIONS angstrom
K 0.000 0.000 0.000
Ce 0.000 0.000 11.162
In 0.000 0.000 6.710
In 0.000 0.000 18.271
I -2.467 -0.020 9.157
I -1.576 -2.156 12.826
I 1.251 -2.127 9.157
I -1.079 2.443 12.826
I 1.216 2.147 9.157
I 2.655 -0.287 12.826


! K2CeInI6, relaxed, DFT PBE; values from VASP
! E_form (uncorrected) = -1.23 eV per atom
! space-group type = No. 14
&SYSTEM
  ibrav = 0, nat = 20, ntyp = 4
/
ATOMIC_SPECIES
K 39.10 K.upf
Ce 140.12 Ce.upf
In 114.82 In.upf
I 126.90 I.upf
CELL_PARAMETERS angstrom
8.391 0.000 0.000
0.000 9.129 0.000
-8.090 0.000 12.290
ATOMIC_POSITIONS angstrom
K -0.267 0.877 3.015
K -4.312 3.688 9.160
K 4.612 5.441 3.130
K 0.567 8.253 9.274
Ce 4.195 0.000 0.000
Ce 0.150 4.565 6.145
In -4.045 0.000 6.145
In 0.000 4.565 0.000
I -6.481 1.616 11.501
I -2.436 2.949 5.357
I -5.298 6.438 11.396
I -1.253 7.257 5.251
I -2.785 0.452 9.367
I 1.260 4.113 3.222
I -0.960 5.016 9.067
I 3.086 8.678 2.922
I 1.553 1.873 7.039
I 5.599 2.692 0.894
I 2.736 6.181 6.933
I 6.781 7.513 0.788


! LiCeInI6, relaxed, DFT PBE; values from VASP
! E_form (uncorrected) = -1.00 eV per atom
! space-group type = No. 163
&SYSTEM
  ibrav = 0, nat = 18, ntyp = 4
/
ATOMIC_SPECIES
Li 6.94 Li.upf
Ce 140.12 Ce.upf
In 114.82 In.upf
I 126.90 I.upf
CELL_PARAMETERS angstrom
7.761 0.000 0.000
-3.880 6.721 0.000
0.000 0.000 14.901
ATOMIC_POSITIONS angstrom
Li 0.000 4.481 3.725
Li 3.880 2.240 11.176
Ce 0.000 4.481 11.176
Ce 3.880 2.240 3.725
In 0.000 0.000 0.000
In 0.000 0.000 7.451
I -1.383 2.416 1.988
I -2.480 4.315 5.463
I 1.383 2.416 5.463
I -1.097 6.711 1.988
I 2.784 0.010 9.438
I 1.401 2.406 12.913
I 2.480 4.315 1.988
I 1.097 6.711 5.463
I 4.977 0.010 12.913
I 2.497 4.305 9.438
I 6.360 2.406 9.438
I 5.263 4.305 12.913


! RbCeIn2I8, relaxed, DFT PBE; values from VASP
! E_form (uncorrected) = -0.87 eV per atom
! space-group type = No. 2
&SYSTEM
  ibrav = 0, nat = 12, ntyp = 4
/
ATOMIC_SPECIES
Rb 85.47 Rb.upf
Ce 140.12 Ce.upf
In 114.82 In.upf
I 126.90 I.upf
CELL_PARAMETERS angstrom
7.361 0.000 0.000
0.071 7.792 0.000
0.019 0.011 10.058
ATOMIC_POSITIONS angstrom
Rb 0.000 0.000 0.000
Ce 0.010 0.005 5.029
In 3.719 3.899 2.461
In 3.733 3.903 7.597
I 1.836 2.515 5.031
I 1.908 6.580 7.174
I 1.906 6.584 2.880
I 2.088 2.906 0.004
I 5.363 4.896 10.055
I 5.545 1.219 7.178
I 5.544 1.222 2.884
I 5.615 5.287 5.027